No. 1
Density functional theory data (PBE-GGA) for a geometry-optimized TeMoCI2 structure.

Results
Polymorph energy (0 for the lowest one): 0.00 kcal/mol of atoms

Cell: 5.6231 5.6231 5.2386 Å, 90.00 90.00 90.00°
Each line ends with the local moment (μB).
Element x y z (fractional)
Te: 0.0000 0.0000 0.5000  -0.18
Mo: 0.0000 0.0000 0.0000  1.75
I: 0.0000 0.5000 0.0000  0.01
I: 0.5000 0.0000 0.0000  0.01
C: 0.5000 0.5000 0.5000  0.96

No. 2
Density functional theory data (PBE-GGA) for a geometry-optimized Ti2MoCI structure.

Cell: 4.9507 4.9544 4.9507 Å, 90.00 90.00 90.00°
Each line ends with the local moment (μB).
Element x y z (fractional)
Ti: 0.5000 0.0000 0.0000  0.86
Ti: 0.0000 0.0000 0.5000  0.85
I: 0.0000 0.0000 0.0000  0.01
C: 0.5000 0.5000 0.5000  -0.34
Mo: 0.0000 0.5000 0.0000  1.58

No. 3
Density functional theory data (PBE-GGA) for a geometry-optimized NaC2IN structure.

Cell: 4.2586 6.6664 4.2586 Å, 90.00 90.00 90.00°
Each line ends with the local moment (μB).
Element x y z (fractional)
I: 0.0000 0.0000 0.0000  -0.01
N: 0.5000 0.5000 0.5000  1.47
C: 0.5000 0.0000 0.0000  0.15
C: 0.0000 0.0000 0.5000  0.11
Na: 0.0000 0.5000 0.0000  -0.01

No. 4
Density functional theory data (PBE-GGA) for a geometry-optimized NbCI2N structure.

Results
Polymorph energy (0 for the lowest one): 0.00 kcal/mol of atoms

Cell: 5.6710 5.6710 3.9105 Å, 90.00 90.00 90.00°
Each line ends with the local moment (μB).
Element x y z (fractional)
I: 0.5000 0.0000 0.0000  -0.06
I: 0.0000 0.5000 0.0000  -0.06
C: 0.5000 0.5000 0.5000  0.89
N: 0.0000 0.0000 0.5000  -0.02
Nb: 0.0000 0.0000 0.0000  0.41

No. 5
Density functional theory data (PBE-GGA) for a geometry-optimized NbCIN2 structure.

Results
Polymorph energy (0 for the lowest one): 0.00 kcal/mol of atoms

Cell: 3.9614 3.9614 6.1344 Å, 90.00 90.00 90.00°
Each line ends with the local moment (μB).
Element x y z (fractional)
Nb: 0.0000 0.0000 0.0000  0.09
I: 0.0000 0.0000 0.5000  -0.07
N: 0.5000 0.0000 0.0000  -0.25
N: 0.0000 0.5000 0.0000  -0.25
C: 0.5000 0.5000 0.5000  0.70

No. 6
Density functional theory data (PBE-GGA) for a geometry-optimized NbCIN2 structure.

Results
Polymorph energy (0 for the lowest one): 19.51 kcal/mol of atoms

Cell: 3.9234 3.9234 4.1583 Å, 90.00 90.00 90.00°
Element x y z (fractional)
I: 0.0000 0.0000 0.5000
N: 0.0000 0.5000 0.0000
N: 0.5000 0.0000 0.0000
Nb: 0.5000 0.5000 0.5000
C: 0.0000 0.0000 0.0000

No. 7
Density functional theory data (PBE-GGA) for a geometry-optimized NbCI2N structure.

Results
Polymorph energy (0 for the lowest one): 2.85 kcal/mol of atoms

Cell: 6.5993 6.5993 2.6863 Å, 90.00 90.00 90.00°
Each line ends with the local moment (μB).
Element x y z (fractional)
I: 0.0000 0.5000 0.0000  0.01
I: 0.5000 0.0000 0.0000  0.01
N: 0.0000 0.0000 0.5000  0.02
Nb: 0.5000 0.5000 0.5000  1.45
C: 0.0000 0.0000 0.0000  0.11

No. 8
Density functional theory data (PBE-GGA) for a geometry-optimized Nd8C3I4N structure.

Cell: 7.7295 8.9642 7.7380 Å, 115.60 119.96 90.00°
Element x y z (fractional)
Nd: 0.7259 0.6714 0.9487
Nd: 0.7771 0.3285 0.5542
Nd: 0.7772 0.3286 0.0513
Nd: 0.2229 0.6715 0.4458
Nd: 0.7246 0.6736 0.4492
Nd: 0.2754 0.3264 0.5508
Nd: 0.2228 0.6714 0.9487
Nd: 0.2741 0.3286 0.0513
I: 0.0000 0.0000 0.5000
I: 0.5000 0.0000 0.0000
I: 0.5000 0.0000 0.5000
I: 0.0000 0.0000 0.0000
C: 0.5000 0.5000 0.5000
C: 0.0000 0.5000 0.5000
C: 0.5000 0.5000 0.0000
N: 0.0000 0.5000 0.0000

No. 9
Density functional theory data (PBE-GGA) for a geometry-optimized Nd4CI2N structure.

Cell: 3.8479 6.6636 8.0509 Å, 106.13 90.00 90.00°
Element x y z (fractional)
I: 0.5000 0.0000 0.5000
I: 0.0000 0.5000 0.5000
Nd: 0.5000 0.2212 0.1697
Nd: 0.0000 0.7273 0.1715
Nd: 0.0000 0.2727 0.8285
Nd: 0.5000 0.7788 0.8303
N: 0.0000 0.0000 0.0000
C: 0.5000 0.5000 0.0000

No. 10
Density functional theory data (PBE-GGA) for a geometry-optimized Nd6C2I3N structure.

Cell: 6.6834 6.6834 8.0766 Å, 97.93 97.93 120.00°
Element x y z (fractional)
C: 0.6665 0.3335 0.0000
C: 0.3335 0.6665 0.0000
N: 0.0000 0.0000 0.0000
Nd: 0.7263 0.7263 0.1718
Nd: 0.3880 0.0571 0.1714
Nd: 0.2737 0.2737 0.8282
Nd: 0.6120 0.9429 0.8286
Nd: 0.9429 0.6120 0.8286
Nd: 0.0571 0.3880 0.1714
I: 0.1679 0.8321 0.5000
I: 0.8321 0.1679 0.5000
I: 0.5000 0.5000 0.5000

No. 11
Density functional theory data (PBE-GGA) for a geometry-optimized NiCIN2 structure.

Results
Polymorph energy (0 for the lowest one): 0.00 kcal/mol of atoms

Cell: 3.4936 3.4936 8.1042 Å, 90.00 90.00 90.00°
Each line ends with the local moment (μB).
Element x y z (fractional)
N: 0.0000 0.5000 0.0000  0.00
N: 0.5000 0.0000 0.0000  0.00
Ni: 0.0000 0.0000 0.0000  0.00
I: 0.0000 0.0000 0.5000  0.02
C: 0.5000 0.5000 0.5000  0.39

No. 12
Density functional theory data (PBE-GGA) for a geometry-optimized NiCI2N structure.

Results
Polymorph energy (0 for the lowest one): 0.00 kcal/mol of atoms

Cell: 6.3035 6.3035 2.6669 Å, 90.00 90.00 90.00°
Each line ends with the local moment (μB).
Element x y z (fractional)
I: 0.5000 0.0000 0.0000  0.05
I: 0.0000 0.5000 0.0000  0.05
Ni: 0.5000 0.5000 0.5000  0.89
N: 0.0000 0.0000 0.5000  0.00
C: 0.0000 0.0000 0.0000  0.03

No. 13
Density functional theory data (PBE-GGA) for a geometry-optimized NiCI2N structure.

Results
Polymorph energy (0 for the lowest one): 11.41 kcal/mol of atoms

Cell: 5.4201 5.4201 3.4642 Å, 90.00 90.00 90.00°
Each line ends with the local moment (μB).
Element x y z (fractional)
Ni: 0.0000 0.0000 0.0000  0.02
N: 0.0000 0.0000 0.5000  0.17
I: 0.0000 0.5000 0.0000  -0.05
I: 0.5000 0.0000 0.0000  -0.05
C: 0.5000 0.5000 0.5000  0.68

No. 14
Density functional theory data (PBE-GGA) for a geometry-optimized NiC2IN structure.

Cell: 3.4318 7.3389 3.4318 Å, 90.00 90.00 90.00°
Element x y z (fractional)
C: 0.5000 0.0000 0.0000
C: 0.0000 0.0000 0.5000
I: 0.0000 0.5000 0.0000
Ni: 0.5000 0.5000 0.5000
N: 0.0000 0.0000 0.0000

No. 15
Density functional theory data (PBE-GGA) for a geometry-optimized NiCIN2 structure.

Results
Polymorph energy (0 for the lowest one): 3.34 kcal/mol of atoms

Cell: 3.3268 3.3268 7.5142 Å, 90.00 90.00 90.00°
Element x y z (fractional)
N: 0.5000 0.0000 0.0000
N: 0.0000 0.5000 0.0000
C: 0.0000 0.0000 0.0000
Ni: 0.5000 0.5000 0.5000
I: 0.0000 0.0000 0.5000

No. 16
Density functional theory data (PBE-GGA) for a geometry-optimized OsCI2N structure.

Results
Polymorph energy (0 for the lowest one): 1.77 kcal/mol of atoms

Cell: 6.2369 6.2369 2.6300 Å, 90.00 90.00 90.00°
Each line ends with the local moment (μB).
Element x y z (fractional)
I: 0.0000 0.5000 0.0000  0.00
I: 0.5000 0.0000 0.0000  0.00
C: 0.0000 0.0000 0.0000  -0.02
Os: 0.5000 0.5000 0.5000  0.21
N: 0.0000 0.0000 0.5000  0.00

No. 17
Density functional theory data (PBE-GGA) for a geometry-optimized OsCIN2 structure.

Results
Polymorph energy (0 for the lowest one): 28.11 kcal/mol of atoms

Cell: 3.7611 3.7611 4.2534 Å, 90.00 90.00 90.00°
Element x y z (fractional)
C: 0.0000 0.0000 0.0000
Os: 0.5000 0.5000 0.5000
I: 0.0000 0.0000 0.5000
N: 0.5000 0.0000 0.0000
N: 0.0000 0.5000 0.0000

No. 18
Density functional theory data (PBE-GGA) for a geometry-optimized OsCIN2 structure.

Results
Polymorph energy (0 for the lowest one): 0.00 kcal/mol of atoms

Cell: 3.7548 3.7548 5.8940 Å, 90.00 90.00 90.00°
Each line ends with the local moment (μB).
Element x y z (fractional)
C: 0.5000 0.5000 0.5000  0.57
N: 0.0000 0.5000 0.0000  0.14
N: 0.5000 0.0000 0.0000  0.14
I: 0.0000 0.0000 0.5000  -0.04
Os: 0.0000 0.0000 0.0000  -0.01

No. 19
Density functional theory data (PBE-GGA) for a geometry-optimized OsCI2N structure.

Results
Polymorph energy (0 for the lowest one): 0.00 kcal/mol of atoms

Cell: 5.5010 5.5010 3.7171 Å, 90.00 90.00 90.00°
Each line ends with the local moment (μB).
Element x y z (fractional)
I: 0.5000 0.0000 0.0000  -0.09
I: 0.0000 0.5000 0.0000  -0.09
Os: 0.0000 0.0000 0.0000  -0.16
C: 0.5000 0.5000 0.5000  0.76
N: 0.0000 0.0000 0.5000  0.00

No. 20
Density functional theory data (PBE-GGA) for a geometry-optimized PbCIN2 structure.

Results
Polymorph energy (0 for the lowest one): 0.00 kcal/mol of atoms

Cell: 4.3460 4.3460 5.9420 Å, 90.00 90.00 90.00°
Each line ends with the local moment (μB).
Element x y z (fractional)
N: 0.5000 0.0000 0.0000  1.08
N: 0.0000 0.5000 0.0000  1.08
C: 0.0000 0.0000 0.0000  -0.27
I: 0.0000 0.0000 0.5000  0.03
Pb: 0.5000 0.5000 0.5000  -0.10

No. 21
Density functional theory data (PBE-GGA) for a geometry-optimized PbCI2N structure.

Results
Polymorph energy (0 for the lowest one): 28.35 kcal/mol of atoms

Cell: 6.2218 6.2218 4.7702 Å, 90.00 90.00 90.00°
Each line ends with the local moment (μB).
Element x y z (fractional)
Pb: 0.0000 0.0000 0.0000  0.01
N: 0.0000 0.0000 0.5000  1.28
C: 0.5000 0.5000 0.5000  0.91
I: 0.5000 0.0000 0.0000  0.02
I: 0.0000 0.5000 0.0000  0.02

No. 22
Density functional theory data (PBE-GGA) for a geometry-optimized PbCIN2 structure.

Results
Polymorph energy (0 for the lowest one): 2.05 kcal/mol of atoms

Cell: 4.4485 4.4485 6.7186 Å, 90.00 90.00 90.00°
Each line ends with the local moment (μB).
Element x y z (fractional)
I: 0.0000 0.0000 0.5000  0.16
Pb: 0.0000 0.0000 0.0000  -0.08
N: 0.0000 0.5000 0.0000  0.95
N: 0.5000 0.0000 0.0000  0.95
C: 0.5000 0.5000 0.5000  -0.77

No. 23
Density functional theory data (PBE-GGA) for a geometry-optimized PbCI2N structure.

Results
Polymorph energy (0 for the lowest one): 0.00 kcal/mol of atoms

Cell: 7.9648 7.9648 2.6837 Å, 90.00 90.00 90.00°
Element x y z (fractional)
Pb: 0.5000 0.5000 0.5000
C: 0.0000 0.0000 0.0000
I: 0.5000 0.0000 0.0000
I: 0.0000 0.5000 0.0000
N: 0.0000 0.0000 0.5000

No. 24
Density functional theory data (PBE-GGA) for a geometry-optimized PbCI3N structure.

Cell: 5.8934 5.8934 6.6729 Å, 90.00 90.00 90.00°
Each line ends with the local moment (μB).
Element x y z (fractional)
I: 0.5000 0.5000 0.0001  0.06
I: 0.5000 0.0000 0.6128  0.20
I: 0.0000 0.5000 0.6128  0.20
N: 0.0000 0.0000 0.0315  0.10
Pb: 0.5000 0.5000 0.4368  0.02
C: 0.0000 0.0000 0.8549  0.34

No. 25
Density functional theory data (PBE-GGA) for a geometry-optimized PdCIN2 structure.

Results
Polymorph energy (0 for the lowest one): 0.00 kcal/mol of atoms

Cell: 4.0559 4.3368 4.0559 Å, 90.00 90.00 90.00°
Each line ends with the local moment (μB).
Element x y z (fractional)
Pd: 0.0000 0.0000 0.0000  0.30
C: 0.0000 0.5000 0.0000  0.36
I: 0.5000 0.5000 0.5000  -0.04
N: 0.5000 0.0000 0.0000  0.88
N: 0.0000 0.0000 0.5000  0.74

No. 26
Density functional theory data (PBE-GGA) for a geometry-optimized PdCIN2 structure.

Results
Polymorph energy (0 for the lowest one): 1.13 kcal/mol of atoms

Cell: 3.5271 3.5271 7.9078 Å, 90.00 90.00 90.00°
Each line ends with the local moment (μB).
Element x y z (fractional)
C: 0.0000 0.0000 0.0000  -0.08
N: 0.5000 0.0000 0.0000  0.31
N: 0.0000 0.5000 0.0000  0.31
I: 0.0000 0.0000 0.5000  0.00
Pd: 0.5000 0.5000 0.5000  0.01

No. 27
Density functional theory data (PBE-GGA) for a geometry-optimized PdCIN2 structure.

Results
Polymorph energy (0 for the lowest one): 1.60 kcal/mol of atoms

Cell: 3.7349 3.7349 8.8367 Å, 90.00 90.00 90.00°
Each line ends with the local moment (μB).
Element x y z (fractional)
I: 0.0000 0.0000 0.5000  -0.02
C: 0.5000 0.5000 0.5000  0.45
N: 0.0000 0.5000 0.0000  0.02
N: 0.5000 0.0000 0.0000  0.02
Pd: 0.0000 0.0000 0.0000  0.00

Per-record energy relative to the elements, uncorrected, meV/atom: 1692; 2678; 3091; 1391; 1559; 2405; 1515; -827; -961; -875; 2101; 1316; 1811; 2696; 2246; 1816; 2976; 1757; 1739; 2702; 2144; 2790; 915; 516; 2328; 2377; 2397